w | Compound: IrWSe2
Source: the Alexandria database
Functional: PBE-GGA
Structure: optimized geometry

```
IrWSe2
1.0
1.920 0.000 8.063
-0.960 1.663 8.063
-0.960 -1.663 8.063
Se Ir W
2 1 1
Cartesian
0.000 0.000 2.445 Se
0.000 0.000 21.744 Se
0.000 0.000 12.095 Ir
0.000 0.000 0.000 W
```

Summary:
size of the total moment	0.00	μB/atom
SG	R-3m, No. 166

=====

x | Compound: IrWSe2
Source: the Alexandria database
Functional: PBE-GGA
Structure: optimized geometry

```
IrWSe2
1.0
9.843 0.025 0.015
9.371 3.012 0.015
9.371 1.481 2.623
Ir Se W
1 2 1
Cartesian
21.589 3.413 2.003 Ir
6.480 1.024 0.601 Se
0.604 0.095 0.056 Se
14.203 2.245 1.318 W
```

Summary:
size of the total moment	0.00	μB/atom
SG	R3m, No. 160

=====

w is the least stable structure shown above.